Record 1
{"formula": "CsY2N", "functional": "PBE-GGA", "state": "optimized geometry", "lattice": [[-4.022, 2.586, -5.734], [1.027, -6.445, -3.627], [-5.890, -3.871, -2.475]], "species": ["Y", "Y", "Y", "Y", "Cs", "Cs", "N", "N"], "fractional_positions": [[0.375, 0.624, 0.750], [0.875, 0.626, 0.750], [0.374, 0.625, 0.250], [0.376, 0.125, 0.250], [0.000, 0.000, 0.000], [0.750, 0.250, 0.500], [0.500, 0.500, 0.000], [0.250, 0.750, 0.500]], "volume_a3_per_cell": 294.6, "crystal_system": "cubic", "e_form_raw_kj_per_mol_atoms": -29.4, "energy_ha_per_atom": -0.214}



Record 2
{"formula": "KBeHg2W", "functional": "PBE-GGA", "state": "optimized geometry", "lattice": [[-2.362, 2.135, -4.430], [-4.188, -4.924, -0.140], [-3.420, 2.818, 3.182]], "species": ["K", "Hg", "Hg", "W", "Be"], "fractional_positions": [[0.000, 0.500, 0.000], [0.000, 0.000, 0.500], [0.500, 0.000, 0.000], [0.000, 0.000, 0.000], [0.500, 0.500, 0.500]], "volume_a3_per_cell": 192.4, "crystal_system": "tetragonal", "energy_ha_per_atom": -0.075, "delta_e_f_ev_per_atom": 1.6249}



Record 3
{"formula": "NaH11Rh5", "functional": "PBE-GGA", "state": "optimized geometry", "lattice": [[5.850, 1.653, -0.689], [-2.125, 4.721, -2.145], [0.428, -1.140, 5.470]], "species": ["H", "H", "H", "H", "H", "H", "H", "H", "H", "H", "H", "Rh", "Rh", "Rh", "Rh", "Rh", "Na"], "fractional_positions": [[0.296, 0.507, 0.507], [0.100, 0.827, 0.538], [0.663, 0.738, 0.152], [0.663, 0.152, 0.738], [0.704, 0.493, 0.493], [0.337, 0.848, 0.262], [0.900, 0.462, 0.173], [0.900, 0.173, 0.462], [0.337, 0.262, 0.848], [0.100, 0.538, 0.827], [0.500, 0.000, 0.000], [0.380, 0.605, 0.881], [0.620, 0.395, 0.119], [0.620, 0.119, 0.395], [0.000, 0.500, 0.500], [0.380, 0.881, 0.605], [0.000, 0.000, 0.000]], "volume_a3_per_cell": 154.2, "crystal_system": "monoclinic", "energy_ha_per_atom": -0.161}



Record 4
{"formula": "K2ZnF", "functional": "PBE-GGA", "state": "optimized geometry", "lattice": [[-1.758, 2.847, 0.875], [-3.000, -1.316, -1.746], [-5.093, -7.597, 14.476]], "species": ["K", "K", "K", "K", "F", "F", "Zn", "Zn"], "fractional_positions": [[0.500, 0.000, 0.402], [0.500, 0.500, 0.902], [0.500, 0.500, 0.214], [0.500, 0.000, 0.714], [0.000, 0.000, 0.832], [0.000, 0.500, 0.332], [0.000, 0.000, 0.067], [0.000, 0.500, 0.567]], "relative_energy_mev_per_atom": 98, "volume_a3_per_cell": 219.9, "crystal_system": "orthorhombic", "e_form_raw_kj_per_mol_atoms": -113.0, "energy_ha_per_atom": -0.092}



Record 5
{"formula": "PmScCu2Ge2", "functional": "PBE-GGA", "state": "optimized geometry", "lattice": [[4.238, 0.000, 0.000], [-2.119, 3.670, 0.000], [0.000, 0.000, 7.125]], "species": ["Sc", "Pm", "Ge", "Ge", "Cu", "Cu"], "fractional_positions": [[0.000, 0.000, 0.500], [0.000, 0.000, 0.000], [0.333, 0.667, 0.272], [0.667, 0.333, 0.728], [0.333, 0.667, 0.695], [0.667, 0.333, 0.305]], "volume_a3_per_cell": 110.8, "crystal_system": "trigonal", "energy_ha_per_atom": -0.199, "delta_e_f_ev_per_atom": -0.6650}



Record 6
{"formula": "CaNd3", "functional": "PBE-GGA", "state": "optimized geometry", "lattice": [[-7.059, 0.610, 2.459], [3.256, -6.743, -0.416], [2.011, 0.625, 5.618]], "species": ["Nd", "Nd", "Nd", "Nd", "Nd", "Nd", "Ca", "Ca"], "fractional_positions": [[0.836, 0.671, 0.750], [0.164, 0.329, 0.250], [0.329, 0.164, 0.750], [0.671, 0.836, 0.250], [0.836, 0.164, 0.750], [0.164, 0.836, 0.250], [0.333, 0.667, 0.750], [0.667, 0.333, 0.250]], "relative_energy_mev_per_atom": 41, "volume_a3_per_cell": 292.2, "crystal_system": "hexagonal", "energy_ha_per_atom": -0.147, "delta_e_f_ev_per_atom": 0.0871}



Record 7
{"formula": "Mg2TaGa", "functional": "PBE-GGA", "state": "optimized geometry", "lattice": [[-1.331, -2.670, -0.045], [0.831, -2.048, -2.005], [6.794, -5.153, 5.860]], "species": ["Mg", "Mg", "Ta", "Ga"], "fractional_positions": [[0.093, 0.093, 0.721], [0.907, 0.907, 0.279], [0.000, 0.000, 0.000], [0.500, 0.500, 0.500]], "volume_a3_per_cell": 78.7, "crystal_system": "trigonal", "energy_ha_per_atom": -0.152, "delta_e_f_ev_per_atom": 0.3675}



Record 8
{"formula": "B4C", "functional": "PBE-GGA", "state": "optimized geometry", "lattice": [[-4.338, -2.227, 2.860], [4.247, -0.862, -1.842], [2.383, 2.480, 3.702]], "species": ["C", "C", "B", "B", "B", "B", "B", "B", "B", "B"], "fractional_positions": [[0.990, 0.963, 0.971], [0.060, 0.187, 0.729], [0.757, 0.246, 0.268], [0.672, 0.848, 0.457], [0.082, 0.543, 0.712], [0.378, 0.302, 0.243], [0.802, 0.927, 0.173], [0.968, 0.607, 0.988], [0.248, 0.223, 0.527], [0.293, 0.904, 0.432]], "relative_energy_mev_per_atom": 542, "volume_a3_per_cell": 74.8, "crystal_system": "triclinic", "energy_ha_per_atom": -0.248, "delta_e_f_ev_per_atom": 0.4395}



Record 9
{"formula": "U2In8Au", "functional": "PBE-GGA", "state": "optimized geometry", "lattice": [[-0.157, -4.718, 0.067], [2.952, -0.046, 3.685], [-9.537, 0.426, 7.646]], "species": ["U", "U", "In", "In", "In", "In", "In", "In", "In", "In", "Au"], "fractional_positions": [[0.000, 0.000, 0.313], [0.000, 0.000, 0.687], [0.000, 0.500, 0.867], [0.500, 0.500, 0.686], [0.500, 0.000, 0.867], [0.000, 0.500, 0.500], [0.000, 0.500, 0.133], [0.500, 0.500, 0.314], [0.500, 0.000, 0.500], [0.500, 0.000, 0.133], [0.000, 0.000, 0.000]], "volume_a3_per_cell": 272.7, "crystal_system": "tetragonal", "energy_ha_per_atom": -0.161, "delta_e_f_ev_per_atom": -0.0428}



Record 10
{"formula": "Mg3In5Pb", "functional": "PBE-GGA", "state": "optimized geometry", "lattice": [[-1.571, 5.706, -2.399], [-8.883, -1.770, 1.607], [5.109, 4.116, 6.446]], "species": ["Mg", "Mg", "Mg", "Mg", "Mg", "Mg", "In", "In", "In", "In", "In", "In", "In", "In", "In", "In", "Pb", "Pb"], "fractional_positions": [[0.750, 0.000, 0.666], [0.250, 0.666, 0.666], [0.750, 0.666, 0.000], [0.750, 0.334, 0.334], [0.250, 0.334, 0.000], [0.250, 0.000, 0.334], [0.500, 0.667, 0.333], [0.250, 0.338, 0.338], [0.250, 0.000, 0.662], [0.750, 0.338, 0.000], [0.500, 0.333, 0.667], [0.250, 0.662, 0.000], [0.000, 0.333, 0.667], [0.000, 0.667, 0.333], [0.750, 0.000, 0.338], [0.750, 0.662, 0.662], [0.000, 0.000, 0.000], [0.500, 0.000, 0.000]], "volume_a3_per_cell": 467.9, "crystal_system": "hexagonal", "energy_ha_per_atom": -0.090, "delta_e_f_ev_per_atom": 0.0166}



Record 11
{"formula": "BaV3Pd", "functional": "PBE-GGA", "state": "optimized geometry", "lattice": [[-0.093, 4.609, -1.058], [-4.482, 0.252, 1.490], [1.509, 1.032, 4.362]], "species": ["V", "V", "V", "Pd", "Ba"], "fractional_positions": [[0.500, 0.000, 0.000], [0.000, 0.000, 0.500], [0.000, 0.500, 0.000], [0.500, 0.500, 0.500], [0.000, 0.000, 0.000]], "relative_energy_mev_per_atom": 1392, "volume_a3_per_cell": 105.8, "crystal_system": "cubic", "energy_ha_per_atom": -0.166, "delta_e_f_ev_per_atom": 2.3715}



Record 12
{"formula": "TlCdCoSn2", "functional": "PBE-GGA", "state": "optimized geometry", "lattice": [[4.964, 0.000, 0.000], [0.000, 4.964, 0.000], [0.000, 0.000, 5.120]], "species": ["Tl", "Sn", "Sn", "Co", "Cd"], "fractional_positions": [[0.000, 0.000, 0.500], [0.000, 0.500, 0.000], [0.500, 0.000, 0.000], [0.000, 0.000, 0.000], [0.500, 0.500, 0.500]], "relative_energy_mev_per_atom": 70, "volume_a3_per_cell": 126.2, "crystal_system": "tetragonal", "energy_ha_per_atom": -0.130, "delta_e_f_ev_per_atom": 0.1346}



Number 12 is which compound? TlCdCoSn2



Repeat the tenth record exactly.
{"formula": "Mg3In5Pb", "functional": "PBE-GGA", "state": "optimized geometry", "lattice": [[-1.571, 5.706, -2.399], [-8.883, -1.770, 1.607], [5.109, 4.116, 6.446]], "species": ["Mg", "Mg", "Mg", "Mg", "Mg", "Mg", "In", "In", "In", "In", "In", "In", "In", "In", "In", "In", "Pb", "Pb"], "fractional_positions": [[0.750, 0.000, 0.666], [0.250, 0.666, 0.666], [0.750, 0.666, 0.000], [0.750, 0.334, 0.334], [0.250, 0.334, 0.000], [0.250, 0.000, 0.334], [0.500, 0.667, 0.333], [0.250, 0.338, 0.338], [0.250, 0.000, 0.662], [0.750, 0.338, 0.000], [0.500, 0.333, 0.667], [0.250, 0.662, 0.000], [0.000, 0.333, 0.667], [0.000, 0.667, 0.333], [0.750, 0.000, 0.338], [0.750, 0.662, 0.662], [0.000, 0.000, 0.000], [0.500, 0.000, 0.000]], "volume_a3_per_cell": 467.9, "crystal_system": "hexagonal", "energy_ha_per_atom": -0.090, "delta_e_f_ev_per_atom": 0.0166}